(1)
Below is a relaxed CsAgCl2 crystal, with properties calculated at the PBE level. Values from VASP.

Structure (Quantum ESPRESSO input):
```
&SYSTEM
  ibrav = 0, nat = 8, ntyp = 3
/
ATOMIC_SPECIES
Cs 132.91 Cs.upf
Ag 107.87 Ag.upf
Cl 35.45 Cl.upf
ATOMIC_POSITIONS crystal
Cs 0.000 0.000 0.000
Cs 0.750 0.250 0.500
Ag 0.250 0.750 0.500
Ag 0.500 0.500 0.000
Cl 0.209 0.625 0.084
Cl 0.375 0.459 0.584
Cl 0.541 0.125 0.916
Cl 0.875 0.791 0.416
CELL_PARAMETERS angstrom
-3.989 3.989 4.206
3.989 -3.989 4.206
3.989 3.989 -4.206
```

Polymorph energy (0 for the lowest one), meV per atom: 23
N(E_F), states/eV/f.u.: 0.000
Uncorrected energy, eV per formula unit: -12.22

(2)
Below is a relaxed Pm2Tm6Hg crystal, with properties calculated at the PBE level. Values from VASP.

Structure (Quantum ESPRESSO input):
```
&SYSTEM
  ibrav = 0, nat = 9, ntyp = 3
/
ATOMIC_SPECIES
Pm 145.00 Pm.upf
Tm 168.93 Tm.upf
Hg 200.59 Hg.upf
ATOMIC_POSITIONS crystal
Pm 0.184 0.816 0.000
Pm 0.816 0.184 0.000
Tm 0.163 0.483 0.500
Tm 0.207 0.207 0.000
Tm 0.483 0.163 0.500
Tm 0.517 0.837 0.500
Tm 0.793 0.793 0.000
Tm 0.837 0.517 0.500
Hg 0.500 0.500 0.500
CELL_PARAMETERS angstrom
4.638 -8.644 0.000
4.638 8.644 0.000
0.000 0.000 3.503
```

N(E_F), states/eV/f.u.: 10.384
Uncorrected energy, eV per formula unit: -36.28
ΔH_f (0 K), kJ/mol of formula units: 34